## PuPdRu (PBE-GGA)

Data for PuPdRu after structural relaxation.

crystal system = orthorhombic
energy of formation from the pure elements = -0.8 eV/f.u.
V = 18.29 A^3/atom
total energy = -59.22 eV per cell
SG = Imma
energy relative to the lowest polymorph listed for this composition = 0 meV/atom

extended XYZ file:
```
6
Lattice="-2.632 2.654 3.928 2.632 -2.654 3.928 2.632 2.654 -3.928" Properties=species:S:1:pos:R:3 pbc="T T T"
Pu 0.000 1.327 0.982
Pu 2.632 1.327 2.947
Pd 2.632 0.000 0.000
Pd 0.000 0.000 3.928
Ru 1.316 1.327 -1.964
Ru 1.316 -1.327 1.964
```


## Sr2CuSn2 (PBE-GGA)

Data for Sr2CuSn2 after structural relaxation.

crystal system = monoclinic
energy of formation from the pure elements = -2.6 eV/f.u.
V = 29.11 A^3/atom
total energy = -36.06 eV per cell
SG = C2/m
energy relative to the lowest polymorph listed for this composition = 0 meV/atom

extended XYZ file:
```
10
Lattice="5.855 -2.405 0.000 5.855 2.405 0.000 -5.604 0.000 10.337" Properties=species:S:1:pos:R:3 pbc="T T T"
Sr -1.740 0.000 3.454
Sr 1.599 0.000 1.130
Sr 4.507 0.000 9.207
Sr 7.845 0.000 6.883
Cu -0.398 0.000 6.703
Cu 6.504 0.000 3.634
Sn 1.605 0.000 4.553
Sn 5.045 0.000 1.266
Sn 1.060 0.000 9.071
Sn 4.500 0.000 5.784
```


## SrTaV2H (PBE-GGA)

Data for SrTaV2H after structural relaxation.

crystal system = tetragonal
V = 16.79 A^3/atom
total energy = -30.63 eV per cell
SG = P4/mmm

extended XYZ file:
```
5
Lattice="4.396 0.000 0.000 0.000 4.396 0.000 0.000 0.000 4.344" Properties=species:S:1:pos:R:3 pbc="T T T"
Sr 0.000 0.000 0.000
Ta 2.198 2.198 0.000
V 0.000 2.198 2.172
V 2.198 0.000 2.172
H 0.000 0.000 2.172
```


## KCu2HgCl8 (PBE-GGA)

Data for KCu2HgCl8 after structural relaxation.

crystal system = trigonal
V = 27.62 A^3/atom
total energy = -31.93 eV per cell
SG = P-3

extended XYZ file:
```
12
Lattice="6.489 0.000 0.000 -3.245 5.620 0.000 0.000 0.000 9.088" Properties=species:S:1:pos:R:3 pbc="T T T"
K 0.000 0.000 0.000
Cu 0.000 3.747 6.740
Cu 3.245 1.873 2.348
Hg 0.000 0.000 4.544
Cl -1.043 1.833 6.208
Cl -1.136 5.607 6.208
Cl 1.066 1.819 2.880
Cl 0.000 3.747 8.940
Cl 3.245 1.873 0.148
Cl 2.179 3.800 6.208
Cl 4.381 0.013 2.880
Cl 4.287 3.787 2.880
```


## KBaHgIr2 (PBE-GGA)

Data for KBaHgIr2 after structural relaxation.

crystal system = tetragonal
energy of formation from the pure elements = 5.2 eV/f.u.
V = 31.73 A^3/atom
total energy = -15.84 eV per cell
SG = P4/mmm

extended XYZ file:
```
5
Lattice="5.218 0.000 0.000 0.000 5.218 0.000 0.000 0.000 5.826" Properties=species:S:1:pos:R:3 pbc="T T T"
K 0.000 0.000 0.000
Ba 2.609 2.609 0.000
Hg 2.609 2.609 2.913
Ir 0.000 2.609 2.913
Ir 2.609 0.000 2.913
```


## BaPaW2N6 (PBE-GGA)

Data for BaPaW2N6 after structural relaxation.

crystal system = monoclinic
V = 18.54 A^3/atom
total energy = -190.70 eV per cell
SG = C2/c

extended XYZ file:
```
20
Lattice="5.599 -5.303 0.000 5.599 5.303 0.000 -2.471 0.000 6.245" Properties=species:S:1:pos:R:3 pbc="T T T"
Ba 3.746 4.249 4.684
Ba 4.981 -4.249 1.561
Pa 4.981 2.147 1.561
Pa 3.746 -2.147 4.684
W 1.280 0.856 5.079
W 2.515 -0.856 1.956
W 6.212 0.856 4.289
W 7.447 -0.856 1.166
N 3.452 3.844 1.869
N 2.337 2.258 5.642
N 6.511 3.844 1.254
N 3.482 0.203 0.643
N 2.247 -0.203 3.766
N 5.154 2.258 3.726
N 3.573 -2.258 2.519
N 6.480 0.203 2.480
N 5.244 -0.203 5.602
N 2.216 -3.844 4.992
N 6.389 -2.258 0.604
N 5.275 -3.844 4.376
```


## RbHfZn2 (PBE-GGA)

Data for RbHfZn2 after structural relaxation.

crystal system = cubic
energy of formation from the pure elements = 2.8 eV/f.u.
V = 24.44 A^3/atom
total energy = -10.64 eV per cell
SG = Fm-3m
energy relative to the lowest polymorph listed for this composition = 0 meV/atom

extended XYZ file:
```
4
Lattice="0.000 3.656 3.656 3.656 0.000 3.656 3.656 3.656 0.000" Properties=species:S:1:pos:R:3 pbc="T T T"
Rb 0.000 0.000 0.000
Hf 3.656 3.656 3.656
Zn 1.828 1.828 1.828
Zn 5.485 5.485 5.485
```


## PmHo5Tl6 (PBE-GGA)

Data for PmHo5Tl6 after structural relaxation.

crystal system = monoclinic
energy of formation from the pure elements = -4.0 eV/f.u.
V = 27.36 A^3/atom
total energy = -45.86 eV per cell
SG = C2/m
energy relative to the lowest polymorph listed for this composition = 0 meV/atom

extended XYZ file:
```
12
Lattice="4.634 -8.076 0.000 4.634 8.076 0.000 -3.098 0.000 4.387" Properties=species:S:1:pos:R:3 pbc="T T T"
Pm 0.000 0.000 0.000
Ho 3.085 5.423 2.194
Ho 4.634 2.703 0.000
Ho 3.085 0.000 2.194
Ho 4.634 -2.703 0.000
Ho 3.085 -5.423 2.194
Tl 1.565 2.729 1.113
Tl 0.039 0.000 3.323
Tl 1.565 -2.729 1.113
Tl 4.606 2.729 3.274
Tl 6.132 0.000 1.064
Tl 4.606 -2.729 3.274
```


## RbCeAg2 (PBE-GGA)

Data for RbCeAg2 after structural relaxation.

crystal system = tetragonal
energy of formation from the pure elements = 0.2 eV/f.u.
V = 32.51 A^3/atom
total energy = -12.43 eV per cell
SG = P4/mmm

extended XYZ file:
```
4
Lattice="3.922 0.000 0.000 0.000 3.922 0.000 0.000 0.000 8.452" Properties=species:S:1:pos:R:3 pbc="T T T"
Rb 0.000 0.000 0.000
Ce 0.000 0.000 4.226
Ag 1.961 1.961 2.690
Ag 1.961 1.961 5.762
```


## Be2SbRu (PBE-GGA)

Data for Be2SbRu after structural relaxation.

crystal system = cubic
V = 13.67 A^3/atom
total energy = -19.31 eV per cell
SG = F-43m

extended XYZ file:
```
4
Lattice="0.000 3.013 3.013 3.013 0.000 3.013 3.013 3.013 0.000" Properties=species:S:1:pos:R:3 pbc="T T T"
Be 0.000 0.000 0.000
Be 1.506 1.506 1.506
Sb 4.519 4.519 4.519
Ru 3.013 3.013 3.013
```


## ScPa2Si (PBE-GGA)

Data for ScPa2Si after structural relaxation.

crystal system = trigonal
V = 22.54 A^3/atom
total energy = -30.22 eV per cell
SG = R-3m
energy relative to the lowest polymorph listed for this composition = 420 meV/atom

extended XYZ file:
```
4
Lattice="1.554 0.897 10.781 -1.554 0.897 10.781 0.000 -1.794 10.781" Properties=species:S:1:pos:R:3 pbc="T T T"
Sc 0.000 0.000 0.000
Pa 0.000 0.000 2.981
Pa 0.000 0.000 29.362
Si 0.000 0.000 16.171
```


## IrOs2Pb (PBE-GGA)

Data for IrOs2Pb after structural relaxation.

crystal system = tetragonal
energy of formation from the pure elements = 3.7 eV/f.u.
V = 16.46 A^3/atom
total energy = -31.28 eV per cell
SG = P4/mmm

extended XYZ file:
```
4
Lattice="4.048 0.000 0.000 0.000 4.048 0.000 0.000 0.000 4.020" Properties=species:S:1:pos:R:3 pbc="T T T"
Ir 0.000 0.000 0.000
Os 0.000 2.024 2.010
Os 2.024 0.000 2.010
Pb 2.024 2.024 0.000
```


## Ho4Ag2Ir (PBE-GGA)

Data for Ho4Ag2Ir after structural relaxation.

crystal system = trigonal
energy of formation from the pure elements = -2.6 eV/f.u.
V = 25.11 A^3/atom
total energy = -35.47 eV per cell
SG = R-3m

extended XYZ file:
```
7
Lattice="2.501 1.444 8.113 -2.501 1.444 8.113 0.000 -2.888 8.113" Properties=species:S:1:pos:R:3 pbc="T T T"
Ho 0.000 0.000 2.929
Ho 0.000 0.000 9.041
Ho 0.000 0.000 15.297
Ho 0.000 0.000 21.409
Ag 0.000 0.000 5.995
Ag 0.000 0.000 18.343
Ir 0.000 0.000 0.000
```


## Pr2SmCu3 (PBE-GGA)

Data for Pr2SmCu3 after structural relaxation.

crystal system = tetragonal
energy of formation from the pure elements = -0.8 eV/f.u.
V = 23.24 A^3/atom
total energy = -27.41 eV per cell
SG = P4/mmm
energy relative to the lowest polymorph listed for this composition = 0 meV/atom

extended XYZ file:
```
6
Lattice="3.583 0.000 0.000 0.000 3.583 0.000 0.000 0.000 10.865" Properties=species:S:1:pos:R:3 pbc="T T T"
Pr 0.000 0.000 1.836
Pr 0.000 0.000 9.028
Sm 0.000 0.000 5.432
Cu 1.791 1.791 0.000
Cu 1.791 1.791 3.718
Cu 1.791 1.791 7.147
```


## La4Nd7Th (PBE-GGA)

Data for La4Nd7Th after structural relaxation.

crystal system = trigonal
energy of formation from the pure elements = 0.2 eV/f.u.
V = 35.62 A^3/atom
total energy = -60.28 eV per cell
SG = P-3m1
energy relative to the lowest polymorph listed for this composition = 0 meV/atom

extended XYZ file:
```
12
Lattice="3.686 0.000 0.000 -1.843 3.192 0.000 0.000 0.000 36.327" Properties=species:S:1:pos:R:3 pbc="T T T"
La 0.000 2.128 6.024
La 0.000 2.128 15.106
La 1.843 1.064 21.222
La 1.843 1.064 30.304
Nd 0.000 0.000 9.041
Nd 0.000 0.000 18.164
Nd 0.000 0.000 27.286
Nd 0.000 2.128 24.271
Nd 0.000 2.128 33.462
Nd 1.843 1.064 2.865
Nd 1.843 1.064 12.056
Th 0.000 0.000 0.000
```


## TmCu4Au4 (PBE-GGA)

Data for TmCu4Au4 after structural relaxation.

crystal system = tetragonal
energy of formation from the pure elements = -1.0 eV/f.u.
V = 17.27 A^3/atom
total energy = -69.83 eV per cell
SG = P4_2/n

extended XYZ file:
```
18
Lattice="8.120 0.000 0.000 0.000 8.120 0.000 0.000 0.000 4.716" Properties=species:S:1:pos:R:3 pbc="T T T"
Tm 2.030 2.030 1.179
Tm 6.090 6.090 3.537
Cu 0.414 1.177 3.532
Cu 1.177 3.646 3.542
Cu 2.883 0.414 3.542
Cu 3.646 2.883 3.532
Cu 4.474 5.237 1.184
Cu 5.237 7.706 1.174
Cu 6.943 4.474 1.174
Cu 7.706 6.943 1.184
Au 0.791 6.735 3.542
Au 1.384 4.851 1.184
Au 2.675 7.329 1.184
Au 3.269 5.444 3.542
Au 4.851 2.675 1.174
Au 5.444 0.791 3.532
Au 6.735 3.269 3.532
Au 7.329 1.384 1.174
```


## ZnPOs3 (PBE-GGA)

Data for ZnPOs3 after structural relaxation.

crystal system = cubic
energy of formation from the pure elements = 4.5 eV/f.u.
V = 16.46 A^3/atom
total energy = -35.85 eV per cell
SG = Pm-3m
energy relative to the lowest polymorph listed for this composition = 0 meV/atom

extended XYZ file:
```
5
Lattice="4.350 0.000 0.000 0.000 4.350 0.000 0.000 0.000 4.350" Properties=species:S:1:pos:R:3 pbc="T T T"
Zn 0.000 0.000 0.000
P 2.175 2.175 2.175
Os 0.000 2.175 2.175
Os 2.175 0.000 2.175
Os 2.175 2.175 0.000
```


## TaCuSi2 (PBE-GGA)

Data for TaCuSi2 after structural relaxation.

crystal system = cubic
V = 14.70 A^3/atom
total energy = -25.83 eV per cell
SG = Fm-3m

extended XYZ file:
```
4
Lattice="0.000 3.086 3.086 3.086 0.000 3.086 3.086 3.086 0.000" Properties=species:S:1:pos:R:3 pbc="T T T"
Ta 0.000 0.000 0.000
Cu 3.086 3.086 3.086
Si 1.543 1.543 1.543
Si 4.629 4.629 4.629
```


## Y5Tm2Sc2 (PBE-GGA)

Data for Y5Tm2Sc2 after structural relaxation.

crystal system = orthorhombic
energy of formation from the pure elements = 1.9 eV/f.u.
V = 30.80 A^3/atom
total energy = -103.98 eV per cell
SG = Ima2
energy relative to the lowest polymorph listed for this composition = 168 meV/atom

extended XYZ file:
```
18
Lattice="-9.715 4.109 3.472 9.715 -4.109 3.472 9.715 4.109 -3.472" Properties=species:S:1:pos:R:3 pbc="T T T"
Y 2.115 1.903 0.000
Y 7.600 1.903 0.000
Y 12.902 2.076 -0.029
Y 6.528 -2.033 3.443
Y 4.858 3.708 1.712
Y 3.187 6.142 -0.029
Y -3.187 2.033 3.443
Y 2.115 2.206 3.472
Y 7.600 2.206 3.472
Y 4.858 0.400 5.183
Tm 14.573 -0.449 1.729
Tm 0.000 0.000 1.928
Tm 9.715 0.000 1.928
Tm 4.858 0.449 1.729
Sc -0.809 3.038 1.733
Sc 10.525 3.038 1.733
Sc 0.809 5.180 1.733
Sc -0.809 1.071 5.205
```


## Hf2ScNb2 (PBE-GGA)

Data for Hf2ScNb2 after structural relaxation.

crystal system = tetragonal
energy of formation from the pure elements = 1.1 eV/f.u.
V = 21.42 A^3/atom
total energy = -90.62 eV per cell
SG = P4/mbm
energy relative to the lowest polymorph listed for this composition = 39 meV/atom

extended XYZ file:
```
10
Lattice="7.746 0.000 0.000 0.000 7.746 0.000 0.000 0.000 3.570" Properties=species:S:1:pos:R:3 pbc="T T T"
Hf 1.044 2.829 0.000
Hf 2.829 6.702 0.000
Hf 4.918 1.044 0.000
Hf 6.702 4.918 0.000
Sc 0.000 0.000 0.000
Sc 3.873 3.873 0.000
Nb 1.246 5.119 1.785
Nb 2.627 1.246 1.785
Nb 5.119 6.501 1.785
Nb 6.501 2.627 1.785
```